--- w ---
# La2TmBi3 PBE-GGA relaxed
# total moment = 0.00 μB per formula unit
data_La2TmBi3
_chemical_formula_sum 'La4 Tm2 Bi6'
_cell_length_a 4.6307
_cell_length_b 4.6307
_cell_length_c 19.5510
_cell_angle_alpha 90.00
_cell_angle_beta 90.00
_cell_angle_gamma 90.00
_symmetry_space_group_name_H-M 'I 4/m m m'
_symmetry_Int_Tables_number 139
_symmetry_space_group_name_Hall '-I 4 2'
loop_
_atom_site_label
_atom_site_fract_x
_atom_site_fract_y
_atom_site_fract_z
La1 0.0000 0.0000 0.1667
Tm1 0.0000 0.0000 0.5000
Bi1 0.0000 0.0000 0.0000
Bi2 0.0000 0.0000 0.3378


--- x ---
# La2TmBi3 PBE-GGA relaxed
# total moment = 0.00 μB per formula unit
data_La2TmBi3
_chemical_formula_sum 'La4 Tm2 Bi6'
_cell_length_a 4.6224
_cell_length_b 6.5523
_cell_length_c 13.8088
_cell_angle_alpha 90.00
_cell_angle_beta 90.00
_cell_angle_gamma 90.00
_symmetry_space_group_name_H-M 'I m m m'
_symmetry_Int_Tables_number 71
_symmetry_space_group_name_Hall '-I 2 2'
loop_
_atom_site_label
_atom_site_fract_x
_atom_site_fract_y
_atom_site_fract_z
La1 0.0000 0.0000 0.1689
Tm1 0.0000 0.0000 0.5000
Bi1 0.0000 0.5000 0.1579
Bi2 0.0000 0.5000 0.5000


Most stable: x


--- w ---
# LaVBi3 PBE-GGA relaxed
# total moment = 3.66 μB per formula unit
data_LaVBi3
_chemical_formula_sum 'La1 V1 Bi3'
_cell_length_a 6.0916
_cell_length_b 6.0916
_cell_length_c 6.0916
_cell_angle_alpha 90.00
_cell_angle_beta 90.00
_cell_angle_gamma 90.00
_symmetry_space_group_name_H-M 'P m -3 m'
_symmetry_Int_Tables_number 221
_symmetry_space_group_name_Hall '-P 4 2 3'
loop_
_atom_site_label
_atom_site_fract_x
_atom_site_fract_y
_atom_site_fract_z
La1 0.0000 0.0000 0.0000
V1 0.5000 0.5000 0.5000
Bi1 0.0000 0.0000 0.5000


--- x ---
# LaVBi3 PBE-GGA relaxed
# total moment = 1.15 μB per formula unit
data_LaVBi3
_chemical_formula_sum 'La1 V1 Bi3'
_cell_length_a 5.3702
_cell_length_b 5.3702
_cell_length_c 5.3702
_cell_angle_alpha 90.00
_cell_angle_beta 90.00
_cell_angle_gamma 90.00
_symmetry_space_group_name_H-M 'P m -3 m'
_symmetry_Int_Tables_number 221
_symmetry_space_group_name_Hall '-P 4 2 3'
loop_
_atom_site_label
_atom_site_fract_x
_atom_site_fract_y
_atom_site_fract_z
La1 0.0000 0.0000 0.0000
V1 0.5000 0.5000 0.5000
Bi1 0.0000 0.5000 0.5000


Most stable: x


--- w ---
# LaV3Bi PBE-GGA relaxed
# total moment = 0.06 μB per formula unit
data_LaV3Bi
_chemical_formula_sum 'La1 V3 Bi1'
_cell_length_a 4.7324
_cell_length_b 4.7324
_cell_length_c 4.7324
_cell_angle_alpha 90.00
_cell_angle_beta 90.00
_cell_angle_gamma 90.00
_symmetry_space_group_name_H-M 'P m -3 m'
_symmetry_Int_Tables_number 221
_symmetry_space_group_name_Hall '-P 4 2 3'
loop_
_atom_site_label
_atom_site_fract_x
_atom_site_fract_y
_atom_site_fract_z
La1 0.0000 0.0000 0.0000
V1 0.0000 0.0000 0.5000
Bi1 0.5000 0.5000 0.5000


--- x ---
# LaV3Bi PBE-GGA relaxed
# total moment = 9.18 μB per formula unit
data_LaV3Bi
_chemical_formula_sum 'La1 V3 Bi1'
_cell_length_a 5.2014
_cell_length_b 5.2014
_cell_length_c 5.2014
_cell_angle_alpha 90.00
_cell_angle_beta 90.00
_cell_angle_gamma 90.00
_symmetry_space_group_name_H-M 'P m -3 m'
_symmetry_Int_Tables_number 221
_symmetry_space_group_name_Hall '-P 4 2 3'
loop_
_atom_site_label
_atom_site_fract_x
_atom_site_fract_y
_atom_site_fract_z
La1 0.0000 0.0000 0.0000
V1 0.0000 0.5000 0.5000
Bi1 0.5000 0.5000 0.5000


Most stable: x


--- w ---
# LaBi3W PBE-GGA relaxed
# total moment = 0.00 μB per formula unit
data_LaBi3W
_chemical_formula_sum 'La1 Bi3 W1'
_cell_length_a 5.9312
_cell_length_b 5.9312
_cell_length_c 5.9312
_cell_angle_alpha 90.00
_cell_angle_beta 90.00
_cell_angle_gamma 90.00
_symmetry_space_group_name_H-M 'P m -3 m'
_symmetry_Int_Tables_number 221
_symmetry_space_group_name_Hall '-P 4 2 3'
loop_
_atom_site_label
_atom_site_fract_x
_atom_site_fract_y
_atom_site_fract_z
La1 0.0000 0.0000 0.0000
Bi1 0.0000 0.0000 0.5000
W1 0.5000 0.5000 0.5000


--- x ---
# LaBi3W PBE-GGA relaxed
# total moment = 0.00 μB per formula unit
data_LaBi3W
_chemical_formula_sum 'La1 Bi3 W1'
_cell_length_a 5.4594
_cell_length_b 5.4594
_cell_length_c 5.4594
_cell_angle_alpha 90.00
_cell_angle_beta 90.00
_cell_angle_gamma 90.00
_symmetry_space_group_name_H-M 'P m -3 m'
_symmetry_Int_Tables_number 221
_symmetry_space_group_name_Hall '-P 4 2 3'
loop_
_atom_site_label
_atom_site_fract_x
_atom_site_fract_y
_atom_site_fract_z
La1 0.0000 0.0000 0.0000
Bi1 0.0000 0.5000 0.5000
W1 0.5000 0.5000 0.5000


Most stable: x


--- w ---
# LaBiW3 PBE-GGA relaxed
# total moment = 0.00 μB per formula unit
data_LaBiW3
_chemical_formula_sum 'La1 Bi1 W3'
_cell_length_a 5.1048
_cell_length_b 5.1048
_cell_length_c 5.1048
_cell_angle_alpha 90.00
_cell_angle_beta 90.00
_cell_angle_gamma 90.00
_symmetry_space_group_name_H-M 'P m -3 m'
_symmetry_Int_Tables_number 221
_symmetry_space_group_name_Hall '-P 4 2 3'
loop_
_atom_site_label
_atom_site_fract_x
_atom_site_fract_y
_atom_site_fract_z
La1 0.0000 0.0000 0.0000
Bi1 0.5000 0.5000 0.5000
W1 0.0000 0.5000 0.5000


--- x ---
# LaBiW3 PBE-GGA relaxed
# total moment = 0.00 μB per formula unit
data_LaBiW3
_chemical_formula_sum 'La1 Bi1 W3'
_cell_length_a 4.9565
_cell_length_b 4.9565
_cell_length_c 4.9565
_cell_angle_alpha 90.00
_cell_angle_beta 90.00
_cell_angle_gamma 90.00
_symmetry_space_group_name_H-M 'P m -3 m'
_symmetry_Int_Tables_number 221
_symmetry_space_group_name_Hall '-P 4 2 3'
loop_
_atom_site_label
_atom_site_fract_x
_atom_site_fract_y
_atom_site_fract_z
La1 0.0000 0.0000 0.0000
Bi1 0.5000 0.5000 0.5000
W1 0.0000 0.0000 0.5000


Most stable: w


--- w ---
# LaBi2W PBE-GGA relaxed
# total moment = 0.00 μB per formula unit
data_LaBi2W
_chemical_formula_sum 'La4 Bi8 W4'
_cell_length_a 7.3887
_cell_length_b 7.3887
_cell_length_c 7.3887
_cell_angle_alpha 90.00
_cell_angle_beta 90.00
_cell_angle_gamma 90.00
_symmetry_space_group_name_H-M 'F m -3 m'
_symmetry_Int_Tables_number 225
_symmetry_space_group_name_Hall '-F 4 2 3'
loop_
_atom_site_label
_atom_site_fract_x
_atom_site_fract_y
_atom_site_fract_z
La1 0.0000 0.0000 0.0000
Bi1 0.2500 0.2500 0.2500
W1 0.0000 0.0000 0.5000


--- x ---
# LaBi2W PBE-GGA relaxed
# total moment = 1.65 μB per formula unit
data_LaBi2W
_chemical_formula_sum 'La4 Bi8 W4'
_cell_length_a 4.6426
_cell_length_b 4.6426
_cell_length_c 21.7824
_cell_angle_alpha 90.00
_cell_angle_beta 90.00
_cell_angle_gamma 90.00
_symmetry_space_group_name_H-M 'I -4 2 d'
_symmetry_Int_Tables_number 122
_symmetry_space_group_name_Hall 'I -4 2bw'
loop_
_atom_site_label
_atom_site_fract_x
_atom_site_fract_y
_atom_site_fract_z
La1 0.0000 0.0000 0.0000
Bi1 0.2200 0.2500 0.6250
W1 0.0000 0.0000 0.5000


Most stable: w